Na2PuBeO4 (PBE, relaxed); E_form (uncorrected) = -2.189 eV per atom; final energy = -7.256 eV/atom; size of the total moment = 4.00 μB/cell; DOS(E_F) = 3.64 states/eV/cell
1.0
5.2709 0.0000 0.0000
0.0000 3.6174 0.0000
-0.6560 0.0000 5.7812
Na Pu Be O
2 1 1 4
direct
0.0000 0.0000 0.0000
0.5000 0.5000 0.0000
0.0000 0.5000 0.5000
0.5000 0.0000 0.5000
0.1875 0.5000 0.2220
0.2876 0.0000 0.6492
0.7124 0.0000 0.3508
0.8125 0.5000 0.7780